1.
ZrIn2Rh after structural relaxation. Source: Alexandria, functional PBE-GGA.

Cell lengths 3.2518, 3.2518, 7.3945 Å; angles 90.00, 90.00, 90.00 degrees
Space group P4/mmm (No. 123)
Unique sites:
Zr1 0.0000 0.0000 0.0000 (multiplicity 1)
In1 0.5000 0.5000 0.2824 (multiplicity 2)
Rh1 0.0000 0.0000 0.5000 (multiplicity 1)

Results
* energy of formation: -0.35 eV per atom
* M_tot: 0.0 μB/f.u.

=====

2.
ZrInRh4 after structural relaxation. Source: Alexandria, functional PBE-GGA.

Cell lengths 9.2814, 3.7934, 5.8836 Å; angles 90.00, 109.23, 90.00 degrees
Space group C2/m (No. 12)
Unique sites:
Zr1 0.0000 0.0000 0.0000 (multiplicity 2)
In1 0.0000 0.0000 0.5000 (multiplicity 2)
Rh1 0.1617 0.5000 0.3282 (multiplicity 4)
Rh2 0.1660 0.5000 0.8303 (multiplicity 4)

Results
* energy of formation: -0.38 eV per atom
* M_tot: 0.0 μB/f.u.